## GaCuNiGe (GGA-PBE)

Data for an optimized crystal structure of GaCuNiGe.

calculated volume: 13.63 Å³ per atom
energy above the lowest structure with this stoichiometry: 0 meV/atom

```
data_GaCuNiGe
_chemical_formula_sum 'Ga1 Cu1 Ni1 Ge1'
_space_group_name_H-M_alt 'P 1'
_space_group_IT_number 1
_space_group_name_Hall 'P 1'
_cell_length_a 4.2562
_cell_length_b 4.2562
_cell_length_c 4.2562
_cell_angle_alpha 60.00
_cell_angle_beta 60.00
_cell_angle_gamma 60.00
loop_
_atom_site_label
_atom_site_type_symbol
_atom_site_fract_x
_atom_site_fract_y
_atom_site_fract_z
Cu1 Cu 0.7500 0.7500 0.7500
Ga1 Ga 0.5000 0.5000 0.5000
Ni1 Ni 0.2500 0.2500 0.2500
Ge1 Ge 0.0000 0.0000 0.0000
```

---

## GaCuGePd (GGA-PBE)

Data for an optimized crystal structure of GaCuGePd.

calculated volume: 15.46 Å³ per atom
energy above the lowest structure with this stoichiometry: 74 meV/atom

```
data_GaCuGePd
_chemical_formula_sum 'Ga1 Cu1 Ge1 Pd1'
_space_group_name_H-M_alt 'P 1'
_space_group_IT_number 1
_space_group_name_Hall 'P 1'
_cell_length_a 4.4389
_cell_length_b 4.4389
_cell_length_c 4.4389
_cell_angle_alpha 60.00
_cell_angle_beta 60.00
_cell_angle_gamma 60.00
loop_
_atom_site_label
_atom_site_type_symbol
_atom_site_fract_x
_atom_site_fract_y
_atom_site_fract_z
Ge1 Ge 0.0000 0.0000 0.0000
Cu1 Cu 0.7500 0.7500 0.7500
Ga1 Ga 0.2500 0.2500 0.2500
Pd1 Pd 0.5000 0.5000 0.5000
```

---

## GaCuGePd (GGA-PBE)

Data for an optimized crystal structure of GaCuGePd.

calculated volume: 15.26 Å³ per atom
energy above the lowest structure with this stoichiometry: 0 meV/atom

```
data_GaCuGePd
_chemical_formula_sum 'Ga1 Cu1 Ge1 Pd1'
_space_group_name_H-M_alt 'P 1'
_space_group_IT_number 1
_space_group_name_Hall 'P 1'
_cell_length_a 4.4193
_cell_length_b 4.4193
_cell_length_c 4.4193
_cell_angle_alpha 60.00
_cell_angle_beta 60.00
_cell_angle_gamma 60.00
loop_
_atom_site_label
_atom_site_type_symbol
_atom_site_fract_x
_atom_site_fract_y
_atom_site_fract_z
Ge1 Ge 0.0000 0.0000 0.0000
Cu1 Cu 0.7500 0.7500 0.7500
Pd1 Pd 0.2500 0.2500 0.2500
Ga1 Ga 0.5000 0.5000 0.5000
```

---

## TmSc2Ga3CuGe2 (GGA-PBE)

Data for an optimized crystal structure of TmSc2Ga3CuGe2.

calculated volume: 17.99 Å³ per atom
final energy: -0.364 Ry/atom

```
data_TmSc2Ga3CuGe2
_chemical_formula_sum 'Tm1 Sc2 Ga3 Cu1 Ge2'
_space_group_name_H-M_alt 'P 1'
_space_group_IT_number 1
_space_group_name_Hall 'P 1'
_cell_length_a 4.0089
_cell_length_b 6.8509
_cell_length_c 6.8509
_cell_angle_alpha 120.62
_cell_angle_beta 90.00
_cell_angle_gamma 90.00
loop_
_atom_site_label
_atom_site_type_symbol
_atom_site_fract_x
_atom_site_fract_y
_atom_site_fract_z
Sc1 Sc 0.0000 0.4014 0.9983
Sc2 Sc 0.0000 0.9983 0.4014
Tm1 Tm 0.0000 0.5943 0.5943
Ge1 Ge 0.5000 0.6688 0.3275
Ge2 Ge 0.5000 0.3275 0.6688
Ga1 Ga 0.5000 0.2377 0.2377
Ga2 Ga 0.5000 0.7633 0.0024
Ga3 Ga 0.5000 0.0024 0.7633
Cu1 Cu 0.0000 0.0064 0.0064
```

---

## Tm2ScGa3CuGe2 (GGA-PBE)

Data for an optimized crystal structure of Tm2ScGa3CuGe2.

calculated volume: 18.73 Å³ per atom
final energy: -0.350 Ry/atom

```
data_Tm2ScGa3CuGe2
_chemical_formula_sum 'Tm2 Sc1 Ga3 Cu1 Ge2'
_space_group_name_H-M_alt 'P 1'
_space_group_IT_number 1
_space_group_name_Hall 'P 1'
_cell_length_a 4.0655
_cell_length_b 6.8986
_cell_length_c 6.8986
_cell_angle_alpha 119.38
_cell_angle_beta 90.00
_cell_angle_gamma 90.00
loop_
_atom_site_label
_atom_site_type_symbol
_atom_site_fract_x
_atom_site_fract_y
_atom_site_fract_z
Ge1 Ge 0.5000 0.3359 0.6599
Ge2 Ge 0.5000 0.6599 0.3359
Tm1 Tm 0.0000 0.9984 0.5956
Tm2 Tm 0.0000 0.5956 0.9984
Ga1 Ga 0.5000 0.0022 0.2381
Ga2 Ga 0.5000 0.2381 0.0022
Ga3 Ga 0.5000 0.7632 0.7632
Cu1 Cu 0.0000 0.0070 0.0070
Sc1 Sc 0.0000 0.3997 0.3997
```

---

## TbTm2Ga3CuGe2 (GGA-PBE)

Data for an optimized crystal structure of TbTm2Ga3CuGe2.

calculated volume: 19.46 Å³ per atom
final energy: -0.338 Ry/atom

```
data_TbTm2Ga3CuGe2
_chemical_formula_sum 'Tb1 Tm2 Ga3 Cu1 Ge2'
_space_group_name_H-M_alt 'P 1'
_space_group_IT_number 1
_space_group_name_Hall 'P 1'
_cell_length_a 4.1298
_cell_length_b 7.0066
_cell_length_c 7.0066
_cell_angle_alpha 120.26
_cell_angle_beta 90.00
_cell_angle_gamma 90.00
loop_
_atom_site_label
_atom_site_type_symbol
_atom_site_fract_x
_atom_site_fract_y
_atom_site_fract_z
Tb1 Tb 0.0000 0.5989 0.5989
Ga1 Ga 0.5000 0.2356 0.2356
Ga2 Ga 0.5000 0.7649 0.0005
Ga3 Ga 0.5000 0.0005 0.7649
Ge1 Ge 0.5000 0.3297 0.6672
Ge2 Ge 0.5000 0.6672 0.3297
Cu1 Cu 0.0000 0.0051 0.0051
Tm1 Tm 0.0000 0.9986 0.3994
Tm2 Tm 0.0000 0.3994 0.9986
```

---

Q: The highest calculated volume belongs to which entry?
A: TbTm2Ga3CuGe2

---

Q: Which of these has the lowest calculated volume?
A: GaCuNiGe